Entry 1:
The following is a DFT calculation (PBE) of a relaxed AlSNCl3 crystal.

Calculated values
The total energy comes out at -26.91 eV/f.u. The space-group type is P2_1/c (14). For the calculated volume, the calculation gives 678.3 Å³ per cell.

POSCAR file:
```
AlSNCl3
1.0
-4.201 -2.188 -9.247
6.689 -0.638 -2.888
3.773 -9.047 0.427
Al S N Cl
4 4 4 12
direct
0.876 0.739 0.158
0.124 0.261 0.842
0.376 0.261 0.342
0.624 0.739 0.658
0.968 0.356 0.116
0.032 0.644 0.884
0.468 0.644 0.384
0.532 0.356 0.616
0.959 0.605 0.045
0.041 0.395 0.955
0.459 0.395 0.455
0.541 0.605 0.545
0.482 0.918 0.705
0.518 0.082 0.295
0.982 0.082 0.795
0.018 0.918 0.205
0.705 0.884 0.054
0.295 0.116 0.946
0.205 0.116 0.446
0.795 0.884 0.554
0.842 0.457 0.347
0.158 0.543 0.653
0.342 0.543 0.153
0.658 0.457 0.847
```

Entry 2:
The following is a DFT calculation (PBE) of a relaxed PC crystal.

Calculated values
For the distance to the lowest polymorph of the same formula, the calculation gives 252 meV per atom. The space-group type is P2/m (10). As for the formation energy: 54 kJ/mol of atoms. For the calculated volume, the calculation gives 54.4 Å³ per cell.

POSCAR file:
```
PC
1.0
-2.083 -1.754 0.980
0.491 -2.259 -2.999
3.630 -3.733 1.033
P C
2 2
direct
0.000 0.134 0.729
0.000 0.866 0.271
0.000 0.320 0.000
0.000 0.680 0.000
```

Entry 3:
The following is a DFT calculation (PBE) of a relaxed IrOs2Pt crystal.

Calculated values
For the distance to the lowest polymorph of the same formula, the calculation gives 1 meV per atom. The space-group type is P4mm (99). As for the formation energy: 6 kJ/mol of atoms. For the calculated volume, the calculation gives 58.8 Å³ per cell.

POSCAR file:
```
IrOs2Pt
1.0
2.739 0.000 0.000
0.000 2.739 0.000
0.000 0.000 7.837
Ir Os Pt
1 2 1
direct
0.500 0.500 0.761
0.000 0.000 0.003
0.500 0.500 0.240
0.000 0.000 0.497
```

no.,N(E_F) (states/eV per cell)
1,0.00
2,0.66
3,4.39